4
Lattice="-3.060 0.667 0.705 -0.440 -3.032 0.958 2.172 2.050 7.486" Properties=species:S:1:pos:R:3 comment="TcHg2Cl | Alexandria via LeMat-Bulk | PBE-GGA | relaxed" raw_formation_energy_ev_per_atom=0.43 e_tot_ev_per_atom=-2.78 pbc="T T T"
Cl -0.121 0.355 6.446
Hg 0.048 0.045 0.166
Hg 1.038 0.980 3.577
Tc -1.207 -0.670 2.703